# LiTh2Ga12 (PBE, optimized geometry)
# Energy of formation = -0.31 eV/atom
# Uncorrected energy = -3.84 eV per atom
# Volume = 19.6 Å³/atom
# Size of the total moment = 0.000 μB/atom
data_LiTh2Ga12
_cell_length_a 6.2177
_cell_length_b 6.2177
_cell_length_c 15.1733
_cell_angle_alpha 90.00
_cell_angle_beta 90.00
_cell_angle_gamma 90.00
_space_group_name_H-M_alt 'P 4/n b m'
_space_group_IT_number 125
loop_
_space_group_symop_operation_xyz
'x,y,z'
'-x,-y,-z'
'-y+1/2,x,z'
'y+1/2,-x,-z'
'-x+1/2,-y+1/2,z'
'x+1/2,y+1/2,-z'
'y,-x+1/2,z'
'-y,x+1/2,-z'
'x,-y+1/2,-z'
'-x,y+1/2,z'
'-y+1/2,-x+1/2,-z'
'y+1/2,x+1/2,z'
'-x+1/2,y,-z'
'x+1/2,-y,z'
'y,x,-z'
'-y,-x,z'
loop_
_atom_site_label
_atom_site_fract_x
_atom_site_fract_y
_atom_site_fract_z
Li1 0.2500 0.7500 0.0000
Th1 0.2500 0.7500 0.2450
Ga1 0.0009 0.5009 0.0863
Ga2 0.0788 0.5788 0.5719
Ga3 0.2500 0.2500 0.1792
Ga4 0.2500 0.2500 0.3414